(1)
The following is a SCAN calculation of a crystal of CoSbS3 relaxed with PBEsol, from Alexandria.

```
data_CoSbS3
_chemical_formula_sum 'Co1 Sb1 S3'
_space_group_name_H-M_alt 'P m -3 m'
_space_group_IT_number 221
_space_group_name_Hall '-P 4 2 3'
_cell_length_a 4.905
_cell_length_b 4.905
_cell_length_c 4.905
_cell_angle_alpha 90.00
_cell_angle_beta 90.00
_cell_angle_gamma 90.00
loop_
_atom_site_label
_atom_site_fract_x
_atom_site_fract_y
_atom_site_fract_z
Co1 0.000 0.000 0.000
Sb1 0.500 0.500 0.500
S1 0.000 0.500 0.500
```

Calculated values
ΔE_f (raw): 4.28 eV per formula unit
Final energy: -15.83 eV/atom

***

(2)
The following is a SCAN calculation of a crystal of Hf3Tl2Cu2Se8 relaxed with PBEsol, from Alexandria.

```
data_Hf3Tl2Cu2Se8
_chemical_formula_sum 'Hf6 Tl4 Cu4 Se16'
_space_group_name_H-M_alt 'C 1 2/m 1'
_space_group_IT_number 12
_space_group_name_Hall '-C 2y'
_cell_length_a 14.517
_cell_length_b 3.753
_cell_length_c 14.162
_cell_angle_alpha 90.00
_cell_angle_beta 113.88
_cell_angle_gamma 90.00
loop_
_atom_site_label
_atom_site_fract_x
_atom_site_fract_y
_atom_site_fract_z
Hf1 0.000 0.000 0.000
Hf2 0.159 0.000 0.378
Tl1 0.160 0.000 0.796
Cu1 0.047 0.500 0.197
Se1 0.022 0.500 0.354
Se2 0.107 0.500 0.956
Se3 0.150 0.000 0.188
Se4 0.198 0.000 0.580
```

Calculated values
ΔE_f (raw): -15.82 eV per formula unit
Final energy: -35.97 eV/atom

***

(3)
The following is a SCAN calculation of a crystal of Tl2W relaxed with PBEsol, from Alexandria.

```
data_Tl2W
_chemical_formula_sum 'Tl2 W1'
_space_group_name_H-M_alt 'P 4/m m m'
_space_group_IT_number 123
_space_group_name_Hall '-P 4 2'
_cell_length_a 4.939
_cell_length_b 4.939
_cell_length_c 2.909
_cell_angle_alpha 90.00
_cell_angle_beta 90.00
_cell_angle_gamma 90.00
loop_
_atom_site_label
_atom_site_fract_x
_atom_site_fract_y
_atom_site_fract_z
Tl1 0.000 0.500 0.000
W1 0.000 0.000 0.500
```

Calculated values
ΔE_f: 0.77 eV/atom
Final energy: -70.70 eV/atom